A relaxed structure of KFeOs2. Source: Alexandria, functional PBE-GGA.

Cell and atoms, written as extended XYZ:
```
4
Lattice="2.7943 0.0000 0.0000 0.0000 2.7943 0.0000 0.0000 0.0000 9.3873" Properties=species:S:1:pos:R:3 pbc="T T T"
K 0.0000 0.0000 0.0000
Fe 1.3971 1.3971 6.3597
Os 0.0000 0.0000 4.5356
Os 1.3971 1.3971 2.8390
```

Calculated values
* raw total energy: -7.19 eV/atom
* calculated formation energy: 0.813 eV/atom
* offset from the most stable computed form: 53 meV per atom
* SG: P4mm, No. 99
* volume: 73 Å³ per cell
* crystal system: tetragonal